Entry from Alexandria: a relaxed Ac2In6Rh crystal (PBE).

The structure in extended XYZ format:
```
9
Lattice="4.0631 0.0000 0.0000 0.0000 2.3525 13.6175 0.0000 -2.3525 13.6175" Properties=species:S:1:pos:R:3 pbc="T T T"
Ac 0.0000 0.0000 0.0000
Ac 0.0000 0.0000 8.7039
In 0.0000 0.0000 16.5656
In 0.0000 0.0000 19.5821
In 2.0315 0.0000 2.8380
In 2.0315 0.0000 5.7512
In 2.0315 0.0000 11.8916
In 2.0315 0.0000 23.8338
Rh 2.0315 0.0000 14.6310
```

Values from the calculation:
Formation energy from the elements (kJ/mol of formula units): -277
Calculated total energy (eV per formula unit): -34.87
V (Å³/atom): 28.92
Space-group type: No. 38